# Re2AgRu

A geometry-optimized Re2AgRu structure (GGA-PBEsol, the Alexandria database).

a = 3.819 Å, b = 3.819 Å, c = 3.973 Å
α = 90.00°, β = 90.00°, γ = 90.00°
Atoms (fractional coordinates):
Re1 0.000 0.500 0.000
Re2 0.500 0.000 0.000
Ag1 0.000 0.000 0.500
Ru1 0.500 0.500 0.500

Output
- Space-group type: No. 123
- Polymorph energy (0 for the lowest one): 288 meV per atom
- Theoretical density: 16.7 g/cm3
- M_tot: 0.0000 μB per atom
- DOS(E_F): 4.14 states/eV per cell
- Formation enthalpy at 0 K: 0.56 eV per atom
- Total energy: -37.9 eV per formula unit

# ReAgRu2

A geometry-optimized ReAgRu2 structure (GGA-PBEsol, the Alexandria database).

a = 4.337 Å, b = 4.337 Å, c = 4.337 Å
α = 60.00°, β = 60.00°, γ = 60.00°
Atoms (fractional coordinates):
Re1 0.000 0.000 0.000
Ag1 0.500 0.500 0.500
Ru1 0.250 0.250 0.250
Ru2 0.750 0.750 0.750

Output
- Space-group type: No. 225
- Theoretical density: 14.3 g/cm3
- M_tot: 0.0001 μB per atom
- DOS(E_F): 1.91 states/eV per cell
- Formation enthalpy at 0 K: 0.54 eV per atom
- Total energy: -34.8 eV per formula unit

# ReAg2RuW

A geometry-optimized ReAg2RuW structure (GGA-PBEsol, the Alexandria database).

a = 4.865 Å, b = 4.865 Å, c = 4.580 Å
α = 90.00°, β = 90.00°, γ = 90.00°
Atoms (fractional coordinates):
Re1 0.000 0.000 0.000
Ag1 0.000 0.500 0.000
Ag2 0.500 0.000 0.000
Ru1 0.500 0.500 0.500
W1 0.000 0.000 0.500

Output
- Space-group type: No. 123
- Theoretical density: 10.5 g/cm3
- M_tot: 0.4168 μB per atom
- DOS(E_F): 5.45 states/eV per cell
- Formation enthalpy at 0 K: 2.43 eV per atom
- Total energy: -31.8 eV per formula unit

# ReAg2Sb2

A geometry-optimized ReAg2Sb2 structure (GGA-PBEsol, the Alexandria database).

a = 8.681 Å, b = 8.681 Å, c = 8.681 Å
α = 156.72°, β = 156.72°, γ = 33.16°
Atoms (fractional coordinates):
Re1 0.000 0.000 0.000
Ag1 0.250 0.750 0.500
Ag2 0.750 0.250 0.500
Sb1 0.407 0.407 0.000
Sb2 0.593 0.593 0.000

Output
- Space-group type: No. 139
- Theoretical density: 10.5 g/cm3
- M_tot: 0.0002 μB per atom
- E_form (uncorrected): 0.596 eV/atom
- DOS(E_F): 2.57 states/eV per cell
- Total energy: -26.1 eV per formula unit

# ReAgSbTe2

A geometry-optimized ReAgSbTe2 structure (GGA-PBEsol, the Alexandria database).

a = 5.194 Å, b = 5.194 Å, c = 5.109 Å
α = 90.00°, β = 90.00°, γ = 90.00°
Atoms (fractional coordinates):
Re1 0.000 0.000 0.000
Ag1 0.500 0.500 0.500
Sb1 0.000 0.000 0.500
Te1 0.000 0.500 0.000
Te2 0.500 0.000 0.000

Output
- Space-group type: No. 123
- Theoretical density: 8.1 g/cm3
- M_tot: 0.0000 μB per atom
- E_form (uncorrected): 0.872 eV/atom
- DOS(E_F): 4.27 states/eV per cell
- Total energy: -23.9 eV per formula unit

# ReAgSe

A geometry-optimized ReAgSe structure (GGA-PBEsol, the Alexandria database).

a = 4.584 Å, b = 4.584 Å, c = 2.652 Å
α = 90.00°, β = 90.00°, γ = 120.00°
Atoms (fractional coordinates):
Re1 0.000 0.000 0.000
Ag1 0.667 0.333 0.500
Se1 0.333 0.667 0.000

Output
- Space-group type: No. 187
- Polymorph energy (0 for the lowest one): 73 meV per atom
- Theoretical density: 12.8 g/cm3
- M_tot: 0.0000 μB per atom
- E_form (uncorrected): 0.695 eV/atom
- DOS(E_F): 2.11 states/eV per cell
- Total energy: -18.4 eV per formula unit

# ReAgSe2

A geometry-optimized ReAgSe2 structure (GGA-PBEsol, the Alexandria database).

a = 3.188 Å, b = 3.699 Å, c = 6.930 Å
α = 90.00°, β = 103.01°, γ = 90.00°
Atoms (fractional coordinates):
Re1 0.000 0.000 0.000
Ag1 0.399 0.500 0.793
Se1 0.112 0.500 0.229
Se2 0.822 0.000 0.637

Output
- Space-group type: No. 6
- Theoretical density: 9.4 g/cm3
- M_tot: 0.0000 μB per atom
- E_form (uncorrected): 0.348 eV/atom
- DOS(E_F): 2.52 states/eV per cell
- Total energy: -23.0 eV per formula unit

# ReAgSe

A geometry-optimized ReAgSe structure (GGA-PBEsol, the Alexandria database).

a = 7.551 Å, b = 7.297 Å, c = 2.856 Å
α = 83.94°, β = 73.96°, γ = 22.10°
Atoms (fractional coordinates):
Re1 0.000 0.000 0.000
Ag1 0.334 0.334 0.666
Se1 0.637 0.637 0.363

Output
- Space-group type: No. 42
- Polymorph energy (0 for the lowest one): 0 meV per atom
- Theoretical density: 12.0 g/cm3
- M_tot: 0.0005 μB per atom
- E_form (uncorrected): 0.622 eV/atom
- DOS(E_F): 2.34 states/eV per cell
- Total energy: -18.6 eV per formula unit

# ReSiAg2

A geometry-optimized ReSiAg2 structure (GGA-PBEsol, the Alexandria database).

a = 2.867 Å, b = 4.332 Å, c = 4.850 Å
α = 90.00°, β = 90.00°, γ = 90.00°
Atoms (fractional coordinates):
Re1 0.000 0.000 0.000
Si1 0.500 0.500 0.000
Ag1 0.000 0.500 0.500
Ag2 0.500 0.000 0.500

Output
- Space-group type: No. 47
- Theoretical density: 11.9 g/cm3
- M_tot: 0.0000 μB per atom
- E_form (uncorrected): 0.330 eV/atom
- DOS(E_F): 1.33 states/eV per cell
- Total energy: -24.4 eV per formula unit

# ReSiAg2

A geometry-optimized ReSiAg2 structure (GGA-PBEsol, the Alexandria database).

a = 5.544 Å, b = 5.544 Å, c = 4.399 Å
α = 113.30°, β = 113.30°, γ = 28.97°
Atoms (fractional coordinates):
Re1 0.000 0.000 0.000
Si1 0.500 0.500 0.500
Ag1 0.227 0.227 0.727
Ag2 0.773 0.773 0.273

Output
- Space-group type: No. 12
- Theoretical density: 11.9 g/cm3
- M_tot: 0.0000 μB per atom
- E_form (uncorrected): 0.286 eV/atom
- DOS(E_F): 1.55 states/eV per cell
- Total energy: -24.6 eV per formula unit

# ReSiAg2

A geometry-optimized ReSiAg2 structure (GGA-PBEsol, the Alexandria database).

a = 5.221 Å, b = 5.221 Å, c = 5.221 Å
α = 146.60°, β = 127.72°, γ = 63.47°
Atoms (fractional coordinates):
Re1 0.000 0.000 0.000
Si1 0.206 0.706 0.500
Ag1 0.441 0.441 0.000
Ag2 0.717 0.217 0.500

Output
- Space-group type: No. 44
- Theoretical density: 11.6 g/cm3
- M_tot: 0.0000 μB per atom
- E_form (uncorrected): 0.498 eV/atom
- DOS(E_F): 2.72 states/eV per cell
- Total energy: -23.7 eV per formula unit

# ReSi2Ag

A geometry-optimized ReSi2Ag structure (GGA-PBEsol, the Alexandria database).

a = 5.025 Å, b = 5.025 Å, c = 2.822 Å
α = 105.20°, β = 105.20°, γ = 110.41°
Atoms (fractional coordinates):
Re1 0.000 0.000 0.000
Si1 0.000 0.500 0.000
Si2 0.500 0.000 0.000
Ag1 0.500 0.500 0.000

Output
- Space-group type: No. 12
- Polymorph energy (0 for the lowest one): 163 meV per atom
- Theoretical density: 9.8 g/cm3
- M_tot: 0.0000 μB per atom
- E_form (uncorrected): 0.397 eV/atom
- DOS(E_F): 2.26 states/eV per cell
- Total energy: -26.5 eV per formula unit